KVPb2O4: optimized geometry, PBE+U.

a = 7.3573 Å, b = 7.1336 Å, c = 5.1802 Å
α = 71.38°, β = 66.76°, γ = 41.85°
Element x y z (fractional)
K: 0.0000 0.0000 0.0000
V: 0.5491 0.5491 0.4509
Pb: 0.2596 0.2596 0.2404
Pb: 0.7596 0.7596 0.7404
O: 0.2919 0.6436 0.3564
O: 0.4259 0.8480 0.5741
O: 0.6436 0.2919 0.7081
O: 0.8480 0.4259 0.1520

Calculated values
Theoretical density in Mg/m³: 5.67
E_tot in eV per atom: -5.8246
SG: Fmm2

KV3Pb4O12: optimized geometry, PBE+U.

a = 10.3352 Å, b = 10.3352 Å, c = 7.5823 Å
α = 90.00°, β = 90.00°, γ = 120.00°
Element x y z (fractional)
K: 0.3333 0.6667 0.0000
K: 0.6667 0.3333 0.5000
V: 0.0136 0.3860 0.2321
V: 0.3725 0.9864 0.2321
V: 0.3860 0.3725 0.7321
V: 0.6140 0.6275 0.2321
V: 0.6275 0.0136 0.7321
V: 0.9864 0.6140 0.7321
Pb: 0.0019 0.7420 0.2403
Pb: 0.2580 0.2599 0.2403
Pb: 0.2599 0.0019 0.7403
Pb: 0.3333 0.6667 0.5114
Pb: 0.6667 0.3333 0.0114
Pb: 0.7401 0.9981 0.2403
Pb: 0.7420 0.7401 0.7403
Pb: 0.9981 0.2580 0.7403
O: 0.0724 0.3248 0.4114
O: 0.0889 0.3443 0.0520
O: 0.0910 0.5818 0.2474
O: 0.1822 0.7092 0.7168
O: 0.2524 0.9276 0.4114
O: 0.2553 0.9111 0.0520
O: 0.2908 0.4730 0.7168
O: 0.3248 0.2524 0.9114
O: 0.3443 0.2553 0.5520
O: 0.4182 0.5092 0.2474
O: 0.4730 0.1822 0.2168
O: 0.4908 0.9090 0.2474
O: 0.5092 0.0910 0.7474
O: 0.5270 0.8178 0.7168
O: 0.5818 0.4908 0.7474
O: 0.6557 0.7447 0.0520
O: 0.6752 0.7476 0.4114
O: 0.7092 0.5270 0.2168
O: 0.7447 0.0889 0.5520
O: 0.7476 0.0724 0.9114
O: 0.8178 0.2908 0.2168
O: 0.9090 0.4182 0.7474
O: 0.9111 0.6557 0.5520
O: 0.9276 0.6752 0.9114

Calculated values
Theoretical density in Mg/m³: 5.74
E_tot in eV per atom: -6.6012
SG: P6_3
ΔE to the lowest computed polymorph in meV/atom: 0.0

KVPbO4: optimized geometry, PBE+U.

a = 6.3779 Å, b = 6.1545 Å, c = 7.4278 Å
α = 90.00°, β = 109.76°, γ = 90.00°
Element x y z (fractional)
K: 0.2083 0.2500 0.4548
K: 0.7917 0.7500 0.5452
V: 0.2350 0.7500 0.1925
V: 0.7650 0.2500 0.8075
Pb: 0.2950 0.2500 0.9946
Pb: 0.7050 0.7500 0.0054
O: 0.0513 0.7500 0.9554
O: 0.0727 0.7500 0.3356
O: 0.4073 0.5180 0.2312
O: 0.4073 0.9820 0.2312
O: 0.5927 0.0180 0.7688
O: 0.5927 0.4820 0.7688
O: 0.9273 0.2500 0.6644
O: 0.9487 0.2500 0.0446

Calculated values
Theoretical density in Mg/m³: 4.37
E_tot in eV per atom: -6.3613
SG: P2_1/m
ΔE to the lowest computed polymorph in meV/atom: 18.2

KV3Pb4O12: optimized geometry, PBE+U.

a = 7.2992 Å, b = 7.2992 Å, c = 7.2992 Å
α = 109.47°, β = 109.47°, γ = 109.47°
Element x y z (fractional)
K: 0.0000 0.0000 0.0000
V: 0.0000 0.5000 0.5000
V: 0.5000 0.0000 0.5000
V: 0.5000 0.5000 0.0000
Pb: 0.0000 0.0000 0.5000
Pb: 0.0000 0.5000 0.0000
Pb: 0.5000 0.0000 0.0000
Pb: 0.5000 0.5000 0.5000
O: 0.1567 0.4950 0.3383
O: 0.1567 0.8184 0.6617
O: 0.1816 0.3383 0.8433
O: 0.3383 0.1567 0.4950
O: 0.3383 0.8433 0.1816
O: 0.4950 0.3383 0.1567
O: 0.5050 0.6617 0.8433
O: 0.6617 0.1567 0.8184
O: 0.6617 0.8433 0.5050
O: 0.8184 0.6617 0.1567
O: 0.8433 0.1816 0.3383
O: 0.8433 0.5050 0.6617

Calculated values
Theoretical density in Mg/m³: 6.73
E_tot in eV per atom: -6.0948
SG: Im-3
ΔE to the lowest computed polymorph in meV/atom: 506.4

- Which value of E_tot does entry 4 give?
  -6.0948 eV per atom